(1)
CePmCuS4: optimized geometry, PBE-GGA.

Unit cell a=6.535 b=5.993 c=7.841 alpha=90.00 beta=107.18 gamma=90.00
Atoms (fractional coordinates):
Ce  0.244  0.250  0.061
Ce  0.756  0.750  0.939
Pm  0.256  0.250  0.563
Pm  0.744  0.750  0.437
Cu  0.244  0.750  0.816
Cu  0.756  0.250  0.184
S  0.016  0.513  0.253
S  0.016  0.987  0.253
S  0.434  0.750  0.616
S  0.435  0.750  0.107
S  0.565  0.250  0.893
S  0.566  0.250  0.384
S  0.984  0.013  0.747
S  0.984  0.487  0.747

Output
* total energy: -5.980 eV per atom
* space-group type: No. 11
* N(E_F): 0.572 states/eV/atom
* energy relative to the elements, uncorrected: -1.51 eV/atom
* mass density: 5.40 Mg/m³

=====

(2)
NaHfSc: optimized geometry, PBE-GGA.

Unit cell a=5.525 b=3.199 c=8.727 alpha=90.00 beta=90.06 gamma=90.00
Atoms (fractional coordinates):
Na  0.000  0.000  0.000
Na  0.500  0.500  0.000
Hf  0.336  0.000  0.354
Hf  0.836  0.500  0.354
Sc  0.171  0.500  0.632
Sc  0.671  0.000  0.632

Output
* total energy: -5.629 eV per atom
* space-group type: No. 8
* N(E_F): 1.290 states/eV/atom
* formation energy: 0.239 eV per atom
* mass density: 5.31 Mg/m³

=====

(3)
BaSrInAg: optimized geometry, PBE-GGA.

Unit cell a=5.039 b=4.586 c=12.863 alpha=90.00 beta=90.00 gamma=90.00
Atoms (fractional coordinates):
Ba  0.000  0.000  0.000
Ba  0.000  0.500  0.500
Sr  0.500  0.000  0.285
Sr  0.500  0.500  0.785
In  0.000  0.000  0.715
In  0.000  0.500  0.215
Ag  0.500  0.000  0.591
Ag  0.500  0.500  0.091

Output
* total energy: -2.605 eV per atom
* space-group type: No. 38
* N(E_F): 0.941 states/eV/atom
* formation energy: -0.307 eV per atom
* mass density: 5.00 Mg/m³

=====

(4)
Ag2PRh: optimized geometry, PBE-GGA.

Unit cell a=2.859 b=4.853 c=9.441 alpha=90.00 beta=90.00 gamma=90.00
Atoms (fractional coordinates):
Ag  0.000  0.000  0.248
Ag  0.000  0.000  0.752
Ag  0.500  0.500  0.248
Ag  0.500  0.500  0.752
P  0.000  0.500  0.000
P  0.500  0.000  0.000
Rh  0.000  0.500  0.500
Rh  0.500  0.000  0.500

Output
* total energy: -4.222 eV per atom
* space-group type: No. 65
* N(E_F): 0.902 states/eV/atom
* formation energy: 0.394 eV per atom
* mass density: 8.86 Mg/m³